(1)
## ZrAg2 (PBE)

Data for ZrAg2 after structural relaxation.

Geometry as extended XYZ:
```
6
Lattice="0.000 3.911 3.911 3.911 0.000 3.911 3.911 3.911 0.000" Properties=species:S:1:pos:R:3 pbc="T T T"
Zr 5.867 5.867 5.867
Zr 3.911 3.911 3.911
Ag 0.978 2.933 2.933
Ag 2.933 0.978 2.933
Ag 2.933 2.933 0.978
Ag 0.978 0.978 0.978
```

Summary:
crystal system	cubic
formation enthalpy at 0 K	131	meV/atom
ΔE to the lowest computed polymorph	192	meV per atom
theoretical density	8.52	Mg/m³
uncorrected energy	-4.619	eV per atom



(2)
## ZrAg5 (PBE)

Data for ZrAg5 after structural relaxation.

Geometry as extended XYZ:
```
6
Lattice="-2.532 0.801 3.536 0.143 -5.360 4.082 3.162 1.543 1.914" Properties=species:S:1:pos:R:3 pbc="T T T"
Ag -1.669 -2.724 4.952
Ag 0.380 -3.867 6.679
Ag 1.171 -2.325 4.130
Ag -0.553 -0.051 5.146
Ag -0.876 -1.194 2.409
Zr 0.065 -5.040 3.954
```

Summary:
crystal system	orthorhombic
formation enthalpy at 0 K	76	meV/atom
ΔE to the lowest computed polymorph	59	meV per atom
theoretical density	9.29	Mg/m³
uncorrected energy	-3.725	eV per atom



(3)
## Zr3Ag2 (PBE)

Data for Zr3Ag2 after structural relaxation.

Geometry as extended XYZ:
```
5
Lattice="-12.817 1.979 -0.295 -12.482 1.322 -3.278 -12.879 -0.944 -1.241" Properties=species:S:1:pos:R:3 pbc="T T T"
Ag -22.938 1.416 -2.893
Ag -15.240 0.941 -1.922
Zr -30.471 1.881 -3.843
Zr -7.706 0.476 -0.972
Zr 0.000 0.000 0.000
```

Summary:
crystal system	trigonal
formation enthalpy at 0 K	90	meV/atom
ΔE to the lowest computed polymorph	146	meV per atom
theoretical density	7.73	Mg/m³
uncorrected energy	-6.179	eV per atom



(4)
## ZrAg5 (PBE)

Data for ZrAg5 after structural relaxation.

Geometry as extended XYZ:
```
6
Lattice="-0.727 -3.150 3.917 -1.612 -1.300 -4.638 4.398 -2.162 -0.922" Properties=species:S:1:pos:R:3 pbc="T T T"
Ag -1.317 -1.917 -1.786
Ag 1.662 -1.514 -2.007
Ag 1.956 -2.131 0.845
Ag 0.000 0.000 0.000
Ag -1.022 -2.534 1.066
Zr 0.640 -4.048 -0.941
```

Summary:
crystal system	hexagonal
formation enthalpy at 0 K	25	meV/atom
ΔE to the lowest computed polymorph	9	meV per atom
theoretical density	9.40	Mg/m³
uncorrected energy	-3.776	eV per atom



(5)
## Zr4Ag (PBE)

Data for Zr4Ag after structural relaxation.

Geometry as extended XYZ:
```
5
Lattice="-2.602 -1.945 -0.241 3.011 -1.867 4.561 -4.667 3.144 2.995" Properties=species:S:1:pos:R:3 pbc="T T T"
Zr -2.022 -0.679 5.292
Zr -2.235 0.011 2.022
Zr 0.403 -0.962 3.401
Zr -4.660 0.294 3.913
Ag 0.000 0.000 0.000
```

Summary:
crystal system	monoclinic
formation enthalpy at 0 K	-4	meV/atom
ΔE to the lowest computed polymorph	41	meV per atom
theoretical density	7.10	Mg/m³
uncorrected energy	-7.413	eV per atom



(6)
## ZrAg2 (PBE)

Data for ZrAg2 after structural relaxation.

Geometry as extended XYZ:
```
12
Lattice="-0.107 5.948 2.863 -0.451 -2.863 5.932 6.586 -0.100 0.453" Properties=species:S:1:pos:R:3 pbc="T T T"
Ag 0.313 1.139 7.055
Ag 2.303 1.141 3.533
Ag 0.510 4.141 4.845
Ag 3.725 1.845 5.714
Ag 2.106 -1.862 5.743
Ag 5.518 -1.156 4.403
Ag 3.922 4.848 3.504
Ag 5.715 1.847 2.193
Zr 0.000 0.000 0.000
Zr 3.067 -1.481 3.193
Zr 3.240 2.924 1.658
Zr -0.279 1.543 4.397
```

Summary:
crystal system	cubic
formation enthalpy at 0 K	740	meV/atom
ΔE to the lowest computed polymorph	801	meV per atom
theoretical density	7.08	Mg/m³
uncorrected energy	-4.010	eV per atom



(7)
## ZrAg6 (PBE)

Data for ZrAg6 after structural relaxation.

Geometry as extended XYZ:
```
7
Lattice="-0.277 5.208 -3.598 -5.872 -1.844 1.503 3.237 1.263 5.298" Properties=species:S:1:pos:R:3 pbc="T T T"
Zr 0.000 0.000 0.000
Ag 0.821 3.090 2.550
Ag -2.335 3.299 -0.623
Ag -3.734 1.537 0.652
Ag -0.057 4.076 0.326
Ag -2.855 0.551 2.876
Ag -0.577 1.327 3.825
```

Summary:
crystal system	cubic
formation enthalpy at 0 K	1024	meV/atom
theoretical density	6.26	Mg/m³
uncorrected energy	-2.641	eV per atom



(8)
## Zr3Ag2 (PBE)

Data for Zr3Ag2 after structural relaxation.

Geometry as extended XYZ:
```
10
Lattice="-7.457 -4.149 2.766 -2.733 -3.677 6.289 -5.060 2.969 0.732" Properties=species:S:1:pos:R:3 pbc="T T T"
Zr -7.635 -0.917 4.281
Zr -7.673 -3.345 6.241
Zr -3.840 -0.930 2.798
Zr -10.452 -2.385 7.012
Zr -7.485 -3.865 3.117
Zr -12.481 -4.305 8.404
Ag -5.139 -2.914 4.581
Ag -9.441 -5.157 7.821
Ag -5.891 1.143 3.008
Ag -10.025 -2.821 4.120
```

Summary:
crystal system	orthorhombic
formation enthalpy at 0 K	46	meV/atom
ΔE to the lowest computed polymorph	103	meV per atom
theoretical density	7.77	Mg/m³
uncorrected energy	-6.223	eV per atom